Entry 1:
Computed, not measured: an optimized crystal structure of BaNbAs2 at the PBE level of DFT.

a b c (Å): 7.582 7.582 8.468
angles (deg): 90.00 90.00 90.00
Element x y z (fractional)
1 Ba 0.000 0.000 0.000
2 Ba 0.000 0.500 0.250
3 Ba 0.500 0.000 0.750
4 Ba 0.500 0.500 0.500
5 Nb 0.000 0.000 0.500
6 Nb 0.000 0.500 0.750
7 Nb 0.500 0.000 0.250
8 Nb 0.500 0.500 0.000
9 As 0.168 0.250 0.625
10 As 0.250 0.668 0.875
11 As 0.250 0.832 0.375
12 As 0.332 0.250 0.125
13 As 0.668 0.750 0.125
14 As 0.750 0.168 0.375
15 As 0.750 0.332 0.875
16 As 0.832 0.750 0.625

## Properties
**Total magnetic moment**: 1.00 μB per formula unit
**Space group**: No. 122
**Volume**: 487 Å³/cell
**Calculated formation energy**: -0.49 eV per atom
**Energy relative to the lowest polymorph listed for this composition**: 178.4 meV per atom

=====

Entry 2:
Computed, not measured: an optimized crystal structure of AsP2 at the PBE level of DFT.

a b c (Å): 2.546 2.546 7.832
angles (deg): 90.00 90.00 90.00
Element x y z (fractional)
1 As 0.000 0.000 0.000
2 P 0.000 0.000 0.349
3 P 0.000 0.000 0.651

## Properties
**Total magnetic moment**: 0.00 μB per formula unit
**Space group**: No. 123
**Volume**: 51 Å³/cell
**Calculated formation energy**: 0.20 eV per atom
**Energy relative to the lowest polymorph listed for this composition**: 90.2 meV per atom

=====

Entry 3:
Computed, not measured: an optimized crystal structure of VGaMoIr at the PBE level of DFT.

a b c (Å): 6.133 6.133 6.133
angles (deg): 90.00 90.00 90.00
Element x y z (fractional)
1 V 0.000 0.000 0.000
2 V 0.000 0.500 0.500
3 V 0.500 0.000 0.500
4 V 0.500 0.500 0.000
5 Ga 0.000 0.000 0.500
6 Ga 0.000 0.500 0.000
7 Ga 0.500 0.000 0.000
8 Ga 0.500 0.500 0.500
9 Mo 0.250 0.250 0.750
10 Mo 0.250 0.750 0.250
11 Mo 0.750 0.250 0.250
12 Mo 0.750 0.750 0.750
13 Ir 0.250 0.250 0.250
14 Ir 0.250 0.750 0.750
15 Ir 0.750 0.250 0.750
16 Ir 0.750 0.750 0.250

## Properties
**Total magnetic moment**: 0.00 μB per formula unit
**Space group**: No. 216
**Volume**: 231 Å³/cell
**Calculated formation energy**: -0.28 eV per atom

=====

Repeat the first record exactly.
Computed, not measured: an optimized crystal structure of BaNbAs2 at the PBE level of DFT.

a b c (Å): 7.582 7.582 8.468
angles (deg): 90.00 90.00 90.00
Element x y z (fractional)
1 Ba 0.000 0.000 0.000
2 Ba 0.000 0.500 0.250
3 Ba 0.500 0.000 0.750
4 Ba 0.500 0.500 0.500
5 Nb 0.000 0.000 0.500
6 Nb 0.000 0.500 0.750
7 Nb 0.500 0.000 0.250
8 Nb 0.500 0.500 0.000
9 As 0.168 0.250 0.625
10 As 0.250 0.668 0.875
11 As 0.250 0.832 0.375
12 As 0.332 0.250 0.125
13 As 0.668 0.750 0.125
14 As 0.750 0.168 0.375
15 As 0.750 0.332 0.875
16 As 0.832 0.750 0.625

## Properties
**Total magnetic moment**: 1.00 μB per formula unit
**Space group**: No. 122
**Volume**: 487 Å³/cell
**Calculated formation energy**: -0.49 eV per atom
**Energy relative to the lowest polymorph listed for this composition**: 178.4 meV per atom